a | Material: InSiHg3
Method: DFT, PBE
State: optimized geometry

Cell: 5.226 5.226 5.226 Å, 90.00 90.00 90.00°
Space group Pm-3m (No. 221)
Inequivalent atoms, fractional coordinates:
1 In 0.000 0.000 0.000 x1
2 Si 0.500 0.500 0.500 x1
3 Hg 0.000 0.500 0.500 x3

---

b | Material: InSiHg3
Method: DFT, PBE
State: optimized geometry

Cell: 5.568 5.568 5.568 Å, 90.00 90.00 90.00°
Space group Pm-3m (No. 221)
Inequivalent atoms, fractional coordinates:
1 In 0.000 0.000 0.000 x1
2 Si 0.500 0.500 0.500 x1
3 Hg 0.000 0.000 0.500 x3

---

Most favorable structure: a. The second most favorable one is 49.7 kJ/mol of atoms above it.

---

a | Material: InSi2Hg2
Method: DFT, PBE
State: optimized geometry

Cell: 7.194 7.194 4.310 Å, 90.00 90.00 90.00°
Space group P4/mbm (No. 127)
Inequivalent atoms, fractional coordinates:
1 In 0.000 0.000 0.000 x2
2 Si 0.117 0.383 0.000 x4
3 Hg 0.188 0.688 0.500 x4

---

b | Material: InSi2Hg2
Method: DFT, PBE
State: optimized geometry

Cell: 3.480 3.480 18.543 Å, 90.00 90.00 90.00°
Space group I4/mmm (No. 139)
Inequivalent atoms, fractional coordinates:
1 In 0.000 0.000 0.000 x2
2 Si 0.000 0.500 0.250 x4
3 Hg 0.000 0.000 0.387 x4

---

c | Material: InSi2Hg2
Method: DFT, PBE
State: optimized geometry

Cell: 4.646 4.646 10.805 Å, 90.00 90.00 90.00°
Space group I4/mmm (No. 139)
Inequivalent atoms, fractional coordinates:
1 In 0.000 0.000 0.000 x2
2 Si 0.000 0.000 0.392 x4
3 Hg 0.000 0.500 0.250 x4

---

Most favorable structure: b. The second most favorable one is 9.7 kJ/mol of atoms above it.